Entry 1:
The following is a DFT calculation (PBE) of a relaxed structure of PrGe3Rh5. Values from VASP.

Computed properties:
- calculated total energy (eV/atom) = -6.750

Quantum ESPRESSO input file:
```
&SYSTEM
  ibrav = 0, nat = 18, ntyp = 3
/
ATOMIC_SPECIES
Pr 140.91 Pr.upf
Ge 72.64 Ge.upf
Rh 102.91 Rh.upf
CELL_PARAMETERS angstrom
4.0343 0.0000 0.0000
-2.0172 6.3693 0.0000
0.0000 0.0000 12.3037
ATOMIC_POSITIONS angstrom
Pr 2.0172 4.2086 9.2278
Pr 0.0000 2.1607 3.0759
Ge 0.0000 4.8692 11.7275
Ge 2.0172 4.9983 3.0759
Ge 0.0000 4.8692 6.7280
Ge 2.0172 1.5000 5.5757
Ge 0.0000 1.3709 9.2278
Ge 2.0172 1.5000 0.5762
Rh 2.0172 3.8352 5.2735
Rh 0.0000 2.5340 11.4254
Rh 0.0000 0.0000 6.1518
Rh 0.0000 0.0000 0.0000
Rh 0.0000 5.6895 1.7531
Rh 2.0172 0.6797 10.5506
Rh 2.0172 0.6797 7.9049
Rh 2.0172 3.8352 0.8783
Rh 0.0000 2.5340 7.0302
Rh 0.0000 5.6895 4.3987
```

Entry 2:
The following is a DFT calculation (PBE) of a relaxed structure of MgBeSi. Values from VASP.

Computed properties:
- energy relative to the elements, uncorrected (meV per atom) = 283

Quantum ESPRESSO input file:
```
&SYSTEM
  ibrav = 0, nat = 3, ntyp = 3
/
ATOMIC_SPECIES
Be 9.01 Be.upf
Si 28.09 Si.upf
Mg 24.30 Mg.upf
CELL_PARAMETERS angstrom
6.0569 0.0018 -0.0017
5.3286 2.6878 -0.0369
0.7282 -0.1641 2.6812
ATOMIC_POSITIONS angstrom
Be 0.8591 -0.1290 2.6478
Si 7.5981 1.6755 0.9280
Mg 4.3847 0.8150 1.7481
```